PmGa2SbO8 after structural relaxation, computed with PBE.

Unit cell a=5.908 b=5.908 c=5.908 alpha=108.04 beta=108.04 gamma=112.37
Element x y z (fractional)
Pm1 0.000 0.000 0.000
Ga1 0.250 0.750 0.500
Ga2 0.500 0.500 0.000
Sb1 0.750 0.250 0.500
O1 0.036 0.366 0.330
O2 0.036 0.705 0.670
O3 0.109 0.311 0.798
O4 0.295 0.964 0.330
O5 0.513 0.311 0.202
O6 0.634 0.964 0.670
O7 0.689 0.487 0.798
O8 0.689 0.891 0.202

Computed properties:
space-group type	No. 119
uncorrected formation energy	-1549	meV per atom